No. 1
SmHoFe6Ni2B2 after structural relaxation, computed with PBE-GGA.

Structure (POSCAR):
```
SmHoFe6Ni2B2
1.0
5.041 0.000 0.000
-2.520 4.365 0.000
0.000 0.000 7.050
Sm Ho Fe Ni B
1 1 6 2 2
Direct
0.000 0.000 0.000
0.000 0.000 0.500
0.000 0.500 0.289
0.000 0.500 0.711
0.500 0.000 0.289
0.500 0.000 0.711
0.500 0.500 0.289
0.500 0.500 0.711
0.333 0.667 0.000
0.667 0.333 0.000
0.333 0.667 0.500
0.667 0.333 0.500
```

Output
Energy above the most stable polymorph in this dataset = 0 meV/atom

No. 2
TcAs2 after structural relaxation, computed with PBE-GGA.

Structure (POSCAR):
```
TcAs2
1.0
7.192 0.000 0.000
0.000 3.203 0.000
0.000 0.000 8.466
Tc As
4 8
Direct
0.242 0.250 0.114
0.258 0.750 0.614
0.742 0.250 0.386
0.758 0.750 0.886
0.039 0.750 0.358
0.124 0.750 0.905
0.376 0.250 0.405
0.461 0.250 0.858
0.539 0.750 0.142
0.624 0.750 0.595
0.876 0.250 0.095
0.961 0.250 0.642
```

Output
Energy above the most stable polymorph in this dataset = 0 meV/atom

No. 3
Gd3In2FeSnIr2 after structural relaxation, computed with PBE-GGA.

Structure (POSCAR):
```
Gd3In2FeSnIr2
1.0
3.886 0.000 0.000
0.000 6.566 3.789
0.000 -6.566 3.789
Gd In Fe Sn Ir
3 2 1 1 2
Direct
0.000 0.000 0.000
0.000 0.174 0.586
0.000 0.586 0.174
0.500 0.587 0.838
0.500 0.838 0.587
0.000 0.580 0.580
0.500 0.337 0.337
0.500 0.254 0.924
0.500 0.924 0.254
```

Output
VASP energy = -6.07 eV/atom

No. 4
Y4Cu3Mo2C3 after structural relaxation, computed with PBE-GGA.

Structure (POSCAR):
```
Y4Cu3Mo2C3
1.0
4.993 -2.911 0.000
4.993 2.911 0.000
-3.291 0.000 13.774
Y Cu Mo C
8 6 4 6
Direct
0.029 0.879 0.615
0.121 0.971 0.885
0.183 0.363 0.096
0.363 0.183 0.596
0.637 0.817 0.404
0.817 0.637 0.904
0.879 0.029 0.115
0.971 0.121 0.385
0.105 0.385 0.753
0.385 0.105 0.253
0.398 0.602 0.250
0.602 0.398 0.750
0.615 0.895 0.747
0.895 0.615 0.247
0.292 0.480 0.428
0.480 0.292 0.928
0.520 0.708 0.072
0.708 0.520 0.572
0.000 0.500 0.500
0.203 0.657 0.000
0.343 0.797 0.500
0.500 0.000 0.000
0.657 0.203 0.500
0.797 0.343 0.000
```

Output
VASP energy = -7.35 eV/atom

No. 5
Zr2SiSnPt2 after structural relaxation, computed with PBE-GGA.

Structure (POSCAR):
```
Zr2SiSnPt2
1.0
10.871 0.000 0.000
0.000 4.439 0.000
-3.622 0.000 10.253
Zr Si Sn Pt
8 4 4 8
Direct
0.000 0.000 0.000
0.115 0.500 0.373
0.239 0.000 0.743
0.375 0.500 0.134
0.497 0.000 0.500
0.622 0.500 0.867
0.745 0.000 0.254
0.866 0.500 0.621
0.246 0.000 0.252
0.621 0.500 0.376
0.747 0.000 0.747
0.992 0.000 0.498
0.120 0.500 0.874
0.368 0.500 0.621
0.497 0.000 0.000
0.870 0.500 0.123
0.130 0.500 0.133
0.235 0.000 0.489
0.369 0.500 0.873
0.498 0.000 0.259
0.625 0.500 0.621
0.747 0.000 0.988
0.867 0.500 0.379
0.985 0.000 0.740
```

Output
VASP energy = -7.44 eV/atom

No. 6
ScAgSO after structural relaxation, computed with PBE-GGA.

Structure (POSCAR):
```
ScAgSO
1.0
4.026 0.000 0.000
0.000 6.840 0.000
0.000 0.000 5.775
Sc Ag S O
2 2 2 2
Direct
0.000 0.146 0.000
0.000 0.854 0.500
0.500 0.302 0.572
0.500 0.698 0.072
0.500 0.328 0.128
0.500 0.672 0.628
0.000 0.102 0.666
0.000 0.898 0.166
```

Output
Energy above the most stable polymorph in this dataset = 182 meV/atom

No. 7
TaNb2Sn2 after structural relaxation, computed with PBE-GGA.

Structure (POSCAR):
```
TaNb2Sn2
1.0
3.856 0.000 0.000
0.000 3.856 0.000
0.000 0.000 14.505
Ta Nb Sn
2 4 4
Direct
0.000 0.000 0.000
0.500 0.500 0.500
0.000 0.000 0.406
0.000 0.000 0.594
0.500 0.500 0.094
0.500 0.500 0.906
0.000 0.500 0.250
0.000 0.500 0.750
0.500 0.000 0.250
0.500 0.000 0.750
```

Output
Energy above the most stable polymorph in this dataset = 65 meV/atom

No. 8
Hf4Fe2CN after structural relaxation, computed with PBE-GGA.

Structure (POSCAR):
```
Hf4Fe2CN
1.0
3.182 0.000 0.000
-1.591 2.755 0.000
0.000 0.000 13.240
Hf Fe C N
4 2 1 1
Direct
0.333 0.667 0.101
0.333 0.667 0.397
0.667 0.333 0.603
0.667 0.333 0.899
0.333 0.667 0.748
0.667 0.333 0.252
0.000 0.000 0.000
0.000 0.000 0.500
```

Output
VASP energy = -9.82 eV/atom

No. 9
DyHoCd after structural relaxation, computed with PBE-GGA.

Structure (POSCAR):
```
DyHoCd
1.0
7.186 0.000 0.000
0.000 7.186 0.000
0.000 0.000 7.186
Dy Ho Cd
4 4 4
Direct
0.000 0.000 0.000
0.000 0.500 0.500
0.500 0.000 0.500
0.500 0.500 0.000
0.250 0.250 0.750
0.250 0.750 0.250
0.750 0.250 0.250
0.750 0.750 0.750
0.000 0.000 0.500
0.000 0.500 0.000
0.500 0.000 0.000
0.500 0.500 0.500
```

Output
Formation energy = 0.516 eV per atom

No. 10
LiZr2Ga2CoIr2 after structural relaxation, computed with PBE-GGA.

Structure (POSCAR):
```
LiZr2Ga2CoIr2
1.0
4.438 0.000 0.000
0.000 4.438 0.000
0.000 0.000 6.302
Li Zr Ga Co Ir
1 2 2 1 2
Direct
0.000 0.000 0.000
0.000 0.500 0.747
0.500 0.000 0.253
0.000 0.500 0.248
0.500 0.000 0.752
0.500 0.500 0.500
0.000 0.000 0.500
0.500 0.500 0.000
```

Output
VASP energy = -6.85 eV/atom

No. 11
LuSi after structural relaxation, computed with PBE-GGA.

Structure (POSCAR):
```
LuSi
1.0
6.388 0.000 0.000
0.000 6.388 0.000
0.000 0.000 6.388
Lu Si
4 4
Direct
0.000 0.000 0.000
0.000 0.500 0.500
0.500 0.000 0.500
0.500 0.500 0.000
0.250 0.250 0.750
0.250 0.750 0.250
0.750 0.250 0.250
0.750 0.750 0.750
```

Output
VASP energy = -4.55 eV/atom

No. 12
HoO after structural relaxation, computed with PBE-GGA.

Structure (POSCAR):
```
HoO
1.0
3.221 0.000 0.000
-1.611 2.790 0.000
0.000 0.000 3.104
Ho O
1 1
Direct
0.000 0.000 0.000
0.667 0.333 0.500
```

Output
VASP energy = -7.31 eV/atom